1.
Below is a relaxed ZrCoTcGe crystal, with properties calculated at the GGA-PBE level.

Properties
Space group: F-43m (216)
V in Å³ per cell: 63
E in eV per cell: -30.21

extended XYZ file:
```
4
Lattice="0.000 3.165 3.165 3.165 0.000 3.165 3.165 3.165 0.000" Properties=species:S:1:pos:R:3 pbc="T T T"
Zr 0.000 0.000 0.000
Co 3.165 3.165 3.165
Tc 4.747 4.747 4.747
Ge 1.582 1.582 1.582
```

=====

2.
Below is a relaxed Dy2ThCo2 crystal, with properties calculated at the GGA-PBE level.

Properties
Space group: C2/c (15)
Calculated formation energy in eV/atom: -0.261
V in Å³ per cell: 224
E in eV per cell: -64.27

extended XYZ file:
```
10
Lattice="5.291 -3.023 0.000 5.291 3.023 0.000 -1.333 0.000 6.999" Properties=species:S:1:pos:R:3 pbc="T T T"
Dy 1.446 0.636 1.068
Dy 0.779 -0.636 4.567
Dy 8.470 0.636 2.432
Dy 7.803 -0.636 5.932
Th 4.958 0.522 1.750
Th 4.291 -0.522 5.250
Co 2.987 0.943 3.437
Co 2.320 -0.943 6.936
Co 6.929 0.943 0.063
Co 6.263 -0.943 3.563
```